[1]
First-principles (PBE) data for Mo2IrSe after structural relaxation, as listed in Alexandria via LeMat-Bulk.

Results
Uncorrected formation energy = -34 meV/atom
Total magnetic moment = 0.000 μB per atom
Space group = P4/mmm
Calculated volume = 15.18 Å³ per atom

abc: 2.9702 2.9702 6.8846
angles: 90.00 90.00 90.00
Element x y z (fractional)
Se (0.5000, 0.5000, 0.2500)
Mo (0.0000, 0.0000, 0.4844)
Mo (0.0000, 0.0000, 0.0156)
Ir (0.5000, 0.5000, 0.7500)

[2]
First-principles (PBE) data for MoIrSe2 after structural relaxation, as listed in Alexandria via LeMat-Bulk.

Results
Uncorrected formation energy = 296 meV/atom
Total magnetic moment = 0.000 μB per atom
Space group = I-42d
Energy above the lowest structure with this stoichiometry = 0.3357 eV per atom
Calculated volume = 21.97 Å³ per atom

abc: 5.6220 5.6220 6.8350
angles: 65.72 65.72 90.00
Element x y z (fractional)
Se (0.8750, 0.8775, 0.7500)
Se (0.1225, 0.6250, 0.2500)
Se (0.3750, 0.3725, 0.7500)
Se (0.6275, 0.1250, 0.2500)
Ir (0.0000, 0.0000, 0.0000)
Ir (0.7500, 0.2500, 0.5000)
Mo (0.5000, 0.5000, 0.0000)
Mo (0.2500, 0.7500, 0.5000)

[3]
First-principles (PBE) data for MoIrSe2 after structural relaxation, as listed in Alexandria via LeMat-Bulk.

Results
Uncorrected formation energy = 52 meV/atom
Total magnetic moment = 0.000 μB per atom
Space group = R-3m
Energy above the lowest structure with this stoichiometry = 0.0917 eV per atom
Calculated volume = 17.75 Å³ per atom

abc: 8.5034 8.5034 8.5034
angles: 21.29 21.29 21.29
Element x y z (fractional)
Mo (0.5000, 0.5000, 0.5000)
Se (0.0955, 0.0955, 0.0955)
Se (0.9045, 0.9045, 0.9045)
Ir (0.0000, 0.0000, 0.0000)

[4]
First-principles (PBE) data for Mo2IrSe after structural relaxation, as listed in Alexandria via LeMat-Bulk.

Results
Uncorrected formation energy = 178 meV/atom
Total magnetic moment = 0.000 μB per atom
Space group = Pmm2
Calculated volume = 16.03 Å³ per atom

abc: 2.9138 3.9621 5.5555
angles: 90.00 90.00 90.00
Element x y z (fractional)
Mo (0.0000, 0.0000, 0.9563)
Mo (0.5000, 0.5000, 0.2965)
Se (0.0000, 0.0000, 0.4610)
Ir (0.5000, 0.5000, 0.7862)

[5]
First-principles (PBE) data for SiMoIrSe2 after structural relaxation, as listed in Alexandria via LeMat-Bulk.

Results
Uncorrected formation energy = 1153 meV/atom
Total magnetic moment = 0.000 μB per atom
Space group = P4/mmm
Calculated volume = 21.75 Å³ per atom

abc: 4.7807 4.7572 4.7807
angles: 90.00 90.00 90.00
Element x y z (fractional)
Mo (0.0000, 0.0000, 0.0000)
Se (0.0000, 0.0000, 0.5000)
Se (0.5000, 0.0000, 0.0000)
Si (0.0000, 0.5000, 0.0000)
Ir (0.5000, 0.5000, 0.5000)

[6]
First-principles (PBE) data for TaMoIrSe2 after structural relaxation, as listed in Alexandria via LeMat-Bulk.

Results
Uncorrected formation energy = 1336 meV/atom
Total magnetic moment = 0.000 μB per atom
Space group = P4/mmm
Calculated volume = 21.96 Å³ per atom

abc: 4.6799 4.6799 5.0125
angles: 90.00 90.00 90.00
Element x y z (fractional)
Se (0.5000, 0.0000, 0.0000)
Se (0.0000, 0.5000, 0.0000)
Ir (0.5000, 0.5000, 0.5000)
Mo (0.0000, 0.0000, 0.0000)
Ta (0.0000, 0.0000, 0.5000)